Record 1
Below is a relaxed Rb2BiPdF6 crystal, with properties calculated at the PBE level.

The space group is Fm-3m (No. 225) and the conventional cell measures 9.312, 9.312 and 9.312 Å, with angles of 90.00, 90.00 and 90.00 degrees. The asymmetric unit holds Rb at (0.250, 0.250, 0.250), Bi at (0.000, 0.000, 0.000), Pd at (0.000, 0.000, 0.500) and F at (0.000, 0.000, 0.244).

The calculation puts the formation energy from raw total energies at -2.14 eV per atom. For the total magnetic moment, the calculation gives 4.0 μB/cell. As for the total DFT energy (no corrections): -4.367 eV/atom. The volume is 201.9 Å³/f.u.



Record 2
Below is a relaxed BiPd2RhF crystal, with properties calculated at the PBE level.

The space group is P4/mmm (No. 123) and the conventional cell measures 5.102, 5.102 and 4.341 Å, with angles of 90.00, 90.00 and 90.00 degrees. The asymmetric unit holds Bi at (0.000, 0.000, 0.000), Pd at (0.000, 0.500, 0.000), Rh at (0.500, 0.500, 0.500) and F at (0.000, 0.000, 0.500).

The calculation puts the formation energy from raw total energies at 0.40 eV per atom. For the total magnetic moment, the calculation gives 1.3 μB/cell. As for the total DFT energy (no corrections): -4.296 eV/atom. The volume is 113.0 Å³/f.u.



- Which value of volume does entry 2 give?
  113.0 Å³/f.u.